DFT (PBE-GGA) results for Eu2NiGe3 after structural relaxation.

The calculation puts the total magnetization at 13.73 Bohr magnetons per cell. Its formation energy from the elements is -0.550 eV/atom. The volume comes out at 22.62 A^3/atom. Its total energy is -7.25 eV/atom.

The space group is P3m1 (No. 156) and the conventional cell measures 4.1499, 4.1499 and 9.0994 Å, with angles of 90.00, 90.00 and 120.00 degrees. The asymmetric unit holds Eu at (0.0000, 0.0000, 0.0000), Eu at (0.0000, 0.0000, 0.4510), Ni at (0.3333, 0.6667, 0.2265), Ge at (0.3333, 0.6667, 0.6732), Ge at (0.6667, 0.3333, 0.2253) and Ge at (0.6667, 0.3333, 0.7774).



DFT (PBE-GGA) results for La4CeHo3 after structural relaxation.

The calculation puts the total magnetization at 1.73 Bohr magnetons per cell. Its formation energy from the elements is 0.184 eV/atom. The volume comes out at 34.16 A^3/atom. Its total energy is -4.74 eV/atom.

The space group is C2/m (No. 12) and the conventional cell measures 23.9394, 3.4398 and 6.9313 Å, with angles of 90.00, 106.73 and 90.00 degrees. The asymmetric unit holds La at (0.1198, 0.0000, 0.3602), La at (0.2423, 0.5000, 0.2330), Ce at (0.0000, 0.5000, 0.0000), Ho at (0.0000, 0.0000, 0.5000) and Ho at (0.1213, 0.0000, 0.8801).



DFT (PBE-GGA) results for CaSmHg after structural relaxation.

For the energy relative to the lowest polymorph listed for this composition, the calculation gives 0.00 eV per formula unit. The calculation puts the total magnetization at 0.54 Bohr magnetons per cell. Its formation energy from the elements is -0.307 eV/atom. The volume comes out at 31.19 A^3/atom. Its total energy is -2.65 eV/atom.

The space group is I4mm (No. 107) and the conventional cell measures 3.7346, 3.7346 and 13.4155 Å, with angles of 90.00, 90.00 and 90.00 degrees. The asymmetric unit holds Ca at (0.0000, 0.0000, 0.0000), Sm at (0.0000, 0.0000, 0.2835) and Hg at (0.0000, 0.0000, 0.6461).



DFT (PBE-GGA) results for HgPd6Au5 after structural relaxation.

For the energy relative to the lowest polymorph listed for this composition, the calculation gives 0.05 eV per formula unit. The calculation puts the total magnetization at 0.00 Bohr magnetons per cell. Its formation energy from the elements is -0.094 eV/atom. The volume comes out at 16.93 A^3/atom. Its total energy is -4.08 eV/atom.

The space group is Immm (No. 71) and the conventional cell measures 4.2678, 7.4328 and 12.8088 Å, with angles of 90.00, 90.00 and 90.00 degrees. The asymmetric unit holds Hg at (0.0000, 0.0000, 0.0000), Pd at (0.0000, 0.2492, 0.5000), Pd at (0.0000, 0.2504, 0.1671), Au at (0.0000, 0.0000, 0.3336), Au at (0.0000, 0.5000, 0.0000) and Au at (0.0000, 0.5000, 0.3312).



Number 2 is which compound? La4CeHo3